Entry from Alexandria via LeMat-Bulk: crystalline Nd12Ge5C3 at its relaxed geometry (GGA-PBE).

```
Nd12Ge5C3
1.0
14.435 0.000 0.000
-4.812 13.609 0.000
-4.812 -6.805 11.786
Ge C Nd
20 12 48
direct
0.500 0.500 0.500 Ge
0.375 0.250 0.125 Ge
0.625 0.750 0.875 Ge
0.000 0.000 0.500 Ge
0.125 0.750 0.375 Ge
0.750 0.125 0.875 Ge
0.500 0.000 0.500 Ge
0.625 0.875 0.250 Ge
0.000 0.500 0.500 Ge
0.500 0.500 0.000 Ge
0.250 0.375 0.625 Ge
0.875 0.250 0.625 Ge
0.375 0.125 0.750 Ge
0.000 0.000 0.000 Ge
0.125 0.375 0.250 Ge
0.250 0.875 0.125 Ge
0.500 0.000 0.000 Ge
0.875 0.625 0.750 Ge
0.000 0.500 0.000 Ge
0.750 0.625 0.375 Ge
0.625 0.250 0.375 C
0.375 0.750 0.625 C
0.750 0.375 0.125 C
0.125 0.250 0.875 C
0.875 0.750 0.125 C
0.125 0.875 0.750 C
0.250 0.625 0.875 C
0.875 0.125 0.250 C
0.375 0.625 0.250 C
0.625 0.375 0.750 C
0.250 0.125 0.375 C
0.750 0.875 0.625 C
0.170 0.103 0.734 Nd
0.869 0.603 0.932 Nd
0.734 0.131 0.064 Nd
0.603 0.869 0.432 Nd
0.631 0.568 0.897 Nd
0.432 0.369 0.603 Nd
0.330 0.564 0.432 Nd
0.064 0.631 0.734 Nd
0.830 0.932 0.064 Nd
0.936 0.568 0.170 Nd
0.131 0.397 0.068 Nd
0.897 0.068 0.631 Nd
0.568 0.631 0.397 Nd
0.436 0.766 0.869 Nd
0.266 0.397 0.830 Nd
0.631 0.064 0.234 Nd
0.932 0.830 0.564 Nd
0.766 0.330 0.897 Nd
0.603 0.734 0.670 Nd
0.936 0.369 0.266 Nd
0.369 0.432 0.103 Nd
0.830 0.897 0.266 Nd
0.397 0.131 0.568 Nd
0.234 0.670 0.103 Nd
0.432 0.064 0.330 Nd
0.568 0.936 0.670 Nd
0.734 0.603 0.170 Nd
0.234 0.564 0.631 Nd
0.670 0.436 0.568 Nd
0.670 0.234 0.603 Nd
0.766 0.436 0.369 Nd
0.869 0.266 0.436 Nd
0.068 0.170 0.436 Nd
0.932 0.103 0.869 Nd
0.564 0.234 0.131 Nd
0.103 0.170 0.234 Nd
0.266 0.869 0.936 Nd
0.131 0.734 0.564 Nd
0.170 0.068 0.936 Nd
0.369 0.936 0.766 Nd
0.397 0.266 0.330 Nd
0.330 0.766 0.397 Nd
0.564 0.330 0.932 Nd
0.103 0.932 0.369 Nd
0.436 0.670 0.068 Nd
0.064 0.432 0.830 Nd
0.897 0.830 0.766 Nd
0.068 0.897 0.131 Nd
```

Results
Crystal system ... cubic
Total magnetization ... 0.0 μB/cell
Formation enthalpy at 0 K ... 0.1965 eV/atom